(1)
Nb3WSe8: relaxed, PBE-GGA.

Values from the calculation:
electronic total energy: -80.3 eV/cell
density of states at the Fermi level: 0.84 states/eV per atom

abc: 13.6761 13.6761 5.9587
angles: 94.34 94.34 14.47
Element x y z (fractional)
1 Nb 0.0000 0.0000 0.0000
2 Nb 0.2497 0.2497 0.7595
3 Nb 0.5000 0.5000 0.4991
4 W 0.7497 0.7497 0.2426
5 Se 0.0626 0.0626 0.6881
6 Se 0.1894 0.1894 0.3910
7 Se 0.3100 0.3100 0.4327
8 Se 0.4372 0.4372 0.1441
9 Se 0.5627 0.5627 0.1880
10 Se 0.6870 0.6870 0.8995
11 Se 0.8123 0.8123 0.9430
12 Se 0.9373 0.9373 0.6443

=====

(2)
YHo3Sc: relaxed, PBE-GGA.

Values from the calculation:
electronic total energy: -26.3 eV/cell
density of states at the Fermi level: 1.50 states/eV per atom
ΔE_f: 4.2 kJ per mole of atoms

abc: 14.2668 14.2668 14.2668
angles: 14.06 14.06 14.06
Element x y z (fractional)
1 Y 0.0000 0.0000 0.0000
2 Ho 0.4018 0.4018 0.4018
3 Ho 0.5975 0.5975 0.5975
4 Ho 0.8035 0.8035 0.8035
5 Sc 0.2005 0.2005 0.2005